Entry from Alexandria via LeMat-Bulk: a relaxed structure of TlGe2F2 (PBE-GGA).

Calculated values
energy above the most stable polymorph in this dataset	120	meV per atom
magnetization	0.000	μB/f.u.
formation energy from raw total energies	-3.88	eV/f.u.

Lattice parameters (Å, degrees): 8.3632 8.3632 2.9225 90.00 90.00 90.00
Closest atoms and distances in Å follow each position.
Element x y z (fractional)
Tl  0.0000  0.0000  0.0000  2 Tl 2.92
Tl  0.5000  0.5000  0.0000  2 Tl 2.92
Ge  0.2461  0.7461  0.5000  2 F 2.14
Ge  0.7461  0.7539  0.5000  2 F 2.14
Ge  0.7539  0.2539  0.5000  2 F 2.14
Ge  0.2539  0.2461  0.5000  2 F 2.14
F  0.3778  0.8778  0.0000  2 Ge 2.14
F  0.8778  0.6222  0.0000  2 Ge 2.14
F  0.6222  0.1222  0.0000  2 Ge 2.14
F  0.1222  0.3778  0.0000  2 Ge 2.14